No. 1
Pm2Pr8Y3 (PBE-GGA, relaxed); energy = -5.15 eV per atom; volume = 456 Å³ per cell; total magnetization = 0.00 Bohr magnetons per cell; offset from the most stable computed form = 0.000 eV per atom; energy of formation from the pure elements = 0.18 eV per formula unit
1.0
-2.893 -4.665 -3.214
4.984 -3.820 5.312
-8.938 -1.300 3.607
Pm Pr Y
2 8 3
Cartesian
-3.984 -6.642 2.744
-2.862 -3.143 2.961
0.700 -2.313 2.744
-7.546 -7.472 2.961
1.424 -4.639 5.512
-8.270 -5.146 0.193
-2.190 -5.470 5.728
-6.460 -3.972 3.184
-0.386 -5.813 2.522
-4.656 -4.315 -0.023
0.000 0.000 0.000
-1.101 -3.480 -0.245
-5.745 -6.305 5.950

No. 2
Pm4PrY2 (PBE-GGA, relaxed); energy = -4.99 eV per atom; volume = 488 Å³ per cell; total magnetization = 0.00 Bohr magnetons per cell; offset from the most stable computed form = 0.195 eV per atom; energy of formation from the pure elements = 1.75 eV per formula unit
1.0
-0.963 0.188 -6.829
4.973 -6.252 -4.358
-6.402 -5.857 -2.742
Pm Pr Y
8 2 4
Cartesian
-0.629 -4.280 -3.514
-1.380 -10.334 -7.059
-3.766 -5.808 -4.647
-4.306 -5.703 -8.470
1.913 -6.218 -5.459
-1.012 -1.588 -6.871
1.374 -6.113 -9.283
-1.764 -7.641 -10.416
2.487 -3.126 -2.179
2.005 -3.032 -5.593
1.546 -8.756 -7.428
-0.482 0.094 -3.414
-1.196 -5.961 -6.965
-3.938 -3.166 -6.501

Question: energy of formation from the pure elements of number 2 (Pm4PrY2)?
Answer: 1.75 eV per formula unit

Question: Number 1 is which compound?
Answer: Pm2Pr8Y3

Question: The lowest volume belongs to which entry?
Answer: Pm2Pr8Y3

What did the first record say?
Pm2Pr8Y3 (PBE-GGA, relaxed); energy = -5.15 eV per atom; volume = 456 Å³ per cell; total magnetization = 0.00 Bohr magnetons per cell; offset from the most stable computed form = 0.000 eV per atom; energy of formation from the pure elements = 0.18 eV per formula unit
1.0
-2.893 -4.665 -3.214
4.984 -3.820 5.312
-8.938 -1.300 3.607
Pm Pr Y
2 8 3
Cartesian
-3.984 -6.642 2.744
-2.862 -3.143 2.961
0.700 -2.313 2.744
-7.546 -7.472 2.961
1.424 -4.639 5.512
-8.270 -5.146 0.193
-2.190 -5.470 5.728
-6.460 -3.972 3.184
-0.386 -5.813 2.522
-4.656 -4.315 -0.023
0.000 0.000 0.000
-1.101 -3.480 -0.245
-5.745 -6.305 5.950